Material: TaHgAu
Method: DFT, PBE
State: relaxed

Summary:
Space-group type   P2_1/m
DOS(E_F)   1.47 states/eV/f.u.
E above lowest polymorph   0.073 eV per atom
Energy of formation   22 kJ/mol of formula units
Mass density   15.9 g cm⁻³
Electronic total energy   -30.41 eV per cell

Cell lengths 3.1217, 3.7488, 10.4285 Å; angles 90.00, 98.52, 90.00 degrees
With the nearest neighbours (Å) after each atom.
Element x y z (fractional)
Ta  0.2127  0.2500  0.4249  5 Au 2.87-3.05, 6 Ta 2.89-3.12
Ta  0.7873  0.7500  0.5751  5 Au 2.87-3.05, 6 Ta 2.89-3.12
Hg  0.0567  0.2500  0.1084  4 Hg 2.92-3.12, 4 Au 3.01, 1 Ta 3.26
Hg  0.9433  0.7500  0.8916  4 Hg 2.92-3.12, 4 Au 3.01, 1 Ta 3.26
Au  0.3591  0.2500  0.7211  5 Ta 2.87-3.05, 4 Hg 3.01, 2 Au 3.12
Au  0.6409  0.7500  0.2789  5 Ta 2.87-3.05, 4 Hg 3.01, 2 Au 3.12


Material: TaHgAu
Method: DFT, PBE
State: relaxed

Summary:
Space-group type   Cm
DOS(E_F)   1.11 states/eV/f.u.
E above lowest polymorph   0.138 eV per atom
Energy of formation   40 kJ/mol of formula units
Mass density   16.9 g cm⁻³
Electronic total energy   -15.01 eV per cell

Cell lengths 6.6016, 6.6016, 3.0140 Å; angles 103.03, 103.03, 26.39 degrees
With the nearest neighbours (Å) after each atom.
Element x y z (fractional)
Ta  0.0000  0.0000  0.0000  4 Au 2.85, 4 Hg 3.01-3.02, 4 Ta 3.01
Hg  0.3296  0.3296  0.3306  4 Ta 3.01-3.02, 4 Hg 3.01, 4 Au 3.08-3.09
Au  0.6511  0.6511  0.6491  4 Ta 2.85, 4 Au 3.01, 4 Hg 3.08-3.09


Material: TaHgAu
Method: DFT, PBE
State: relaxed

Summary:
Space-group type   C2/m
DOS(E_F)   1.41 states/eV/f.u.
E above lowest polymorph   0.148 eV per atom
Energy of formation   43 kJ/mol of formula units
Mass density   16.9 g cm⁻³
Electronic total energy   -29.96 eV per cell

Cell lengths 6.7183, 6.7183, 5.9713 Å; angles 103.97, 103.97, 25.86 degrees
With the nearest neighbours (Å) after each atom.
Element x y z (fractional)
Ta  0.0021  0.0021  0.2490  4 Au 2.87-2.88, 4 Ta 2.96-3.01, 4 Hg 3.00
Ta  0.9979  0.9979  0.7510  4 Au 2.87-2.88, 4 Ta 2.96-3.01, 4 Hg 3.00
Hg  0.3334  0.3334  0.4028  4 Au 2.93-3.05, 4 Ta 3.00, 4 Hg 3.01-3.10
Hg  0.6666  0.6666  0.5972  4 Au 2.93-3.05, 4 Ta 3.00, 4 Hg 3.01-3.10
Au  0.3461  0.3461  0.9201  4 Ta 2.87-2.88, 4 Hg 2.93-3.05, 2 Au 3.01
Au  0.6539  0.6539  0.0799  4 Ta 2.87-2.88, 4 Hg 2.93-3.05, 2 Au 3.01


Material: TaHgAu2
Method: DFT, PBE
State: relaxed

Summary:
Space-group type   F-43m
DOS(E_F)   3.18 states/eV/f.u.
Energy of formation   115 kJ/mol of formula units
Mass density   17.3 g cm⁻³
Electronic total energy   -17.52 eV per cell

Cell lengths 4.7185, 4.7185, 4.7185 Å; angles 60.00, 60.00, 60.00 degrees
With the nearest neighbours (Å) after each atom.
Element x y z (fractional)
Ta  0.0000  0.0000  0.0000  4 Au 2.89, 4 Hg 2.89
Hg  0.2500  0.2500  0.2500  4 Ta 2.89, 4 Au 2.89
Au  0.5000  0.5000  0.5000  4 Au 2.89, 4 Hg 2.89
Au  0.7500  0.7500  0.7500  4 Ta 2.89, 4 Au 2.89


Material: Ta2HgAu
Method: DFT, PBE
State: relaxed

Summary:
Space-group type   Pmm2
DOS(E_F)   2.02 states/eV/f.u.
Energy of formation   62 kJ/mol of formula units
Mass density   16.8 g cm⁻³
Electronic total energy   -26.64 eV per cell

Cell lengths 3.1013, 3.8831, 6.2292 Å; angles 90.00, 90.00, 90.00 degrees
With the nearest neighbours (Å) after each atom.
Element x y z (fractional)
Ta  0.0000  0.0000  0.0000  6 Ta 2.88-3.10, 4 Hg 2.98, 2 Au 3.01-3.22
Ta  0.5000  0.5000  0.2344  6 Ta 2.88-3.10, 4 Au 2.93, 2 Hg 3.11-3.12
Hg  0.5000  0.5000  0.7355  4 Au 2.94, 6 Ta 2.98-3.12, 2 Hg 3.10
Au  0.0000  0.0000  0.4835  6 Ta 2.93-3.22, 4 Hg 2.94, 2 Au 3.10


Material: Ta2HgAu
Method: DFT, PBE
State: relaxed

Summary:
Space-group type   P2/m
DOS(E_F)   3.37 states/eV/f.u.
Energy of formation   81 kJ/mol of formula units
Mass density   17.1 g cm⁻³
Electronic total energy   -26.45 eV per cell

Cell lengths 2.9760, 4.1692, 5.9395 Å; angles 90.00, 90.12, 90.00 degrees
With the nearest neighbours (Å) after each atom.
Element x y z (fractional)
Ta  0.0005  0.0000  0.2431  4 Ta 2.89-3.05, 4 Au 2.94, 4 Hg 2.98
Ta  0.9995  0.0000  0.7569  4 Ta 2.89-3.05, 4 Au 2.94, 4 Hg 2.98
Hg  0.5000  0.5000  0.5000  2 Au 2.97, 2 Hg 2.98, 8 Ta 2.98
Au  0.5000  0.5000  0.0000  8 Ta 2.94, 2 Hg 2.97, 2 Au 2.98


Material: TaHgAu2
Method: DFT, PBE
State: relaxed

Summary:
Space-group type   P4/mmm
DOS(E_F)   1.41 states/eV/f.u.
Energy of formation   93 kJ/mol of formula units
Mass density   16.9 g cm⁻³
Electronic total energy   -17.75 eV per cell

Cell lengths 5.1106, 5.1106, 2.9126 Å; angles 90.00, 90.00, 90.00 degrees
With the nearest neighbours (Å) after each atom.
Element x y z (fractional)
Ta  0.0000  0.0000  0.0000  2 Ta 2.91, 8 Au 2.94
Hg  0.5000  0.5000  0.0000  2 Hg 2.91, 8 Au 2.94
Au  0.0000  0.5000  0.5000  2 Au 2.91, 4 Hg 2.94, 4 Ta 2.94
Au  0.5000  0.0000  0.5000  2 Au 2.91, 4 Hg 2.94, 4 Ta 2.94


Material: Ta2HgAu
Method: DFT, PBE
State: relaxed

Summary:
Space-group type   I-42d
DOS(E_F)   2.50 states/eV/f.u.
Energy of formation   250 kJ/mol of formula units
Mass density   15.6 g cm⁻³
Electronic total energy   -49.38 eV per cell

Cell lengths 6.0351, 6.0351, 6.0351 Å; angles 103.04, 103.04, 123.29 degrees
With the nearest neighbours (Å) after each atom.
Element x y z (fractional)
Ta  0.1107  0.6250  0.9857  2 Au 2.68, 2 Hg 2.82, 2 Ta 2.87
Ta  0.3750  0.3607  0.4857  2 Au 2.68, 2 Hg 2.82, 2 Ta 2.87
Ta  0.6393  0.1250  0.0143  2 Au 2.68, 2 Hg 2.82, 2 Ta 2.87
Ta  0.8750  0.8893  0.5143  2 Au 2.68, 2 Hg 2.82, 2 Ta 2.87
Hg  0.2500  0.7500  0.5000  4 Ta 2.82, 2 Au 2.87
Hg  0.5000  0.5000  0.0000  4 Ta 2.82, 2 Au 2.87
Au  0.0000  0.0000  0.0000  4 Ta 2.68, 2 Hg 2.87
Au  0.7500  0.2500  0.5000  4 Ta 2.68, 2 Hg 2.87


Material: TaHgAu
Method: DFT, PBE
State: relaxed

Summary:
Space-group type   P-1
DOS(E_F)   1.45 states/eV/f.u.
E above lowest polymorph   0.119 eV per atom
Energy of formation   35 kJ/mol of formula units
Mass density   16.5 g cm⁻³
Electronic total energy   -30.14 eV per cell

Cell lengths 2.9821, 5.6127, 7.7086 Å; angles 70.68, 78.93, 74.64 degrees
With the nearest neighbours (Å) after each atom.
Element x y z (fractional)
Ta  0.1482  0.2342  0.4784  5 Ta 2.86-2.99, 4 Au 2.87-2.90, 3 Hg 3.09-3.11
Ta  0.8518  0.7658  0.5216  5 Ta 2.86-2.99, 4 Au 2.87-2.90, 3 Hg 3.09-3.11
Hg  0.1535  0.8305  0.8644  5 Au 2.90-3.07, 3 Hg 2.98-3.13, 3 Ta 3.09-3.11
Hg  0.8465  0.1695  0.1356  5 Au 2.90-3.07, 3 Hg 2.98-3.13, 3 Ta 3.09-3.11
Au  0.4413  0.3482  0.7705  4 Ta 2.87-2.90, 5 Hg 2.90-3.07, 2 Au 2.98
Au  0.5587  0.6518  0.2295  4 Ta 2.87-2.90, 5 Hg 2.90-3.07, 2 Au 2.98


Material: TaHgAu2
Method: DFT, PBE
State: relaxed

Summary:
Space-group type   P4/mmm
DOS(E_F)   4.40 states/eV/f.u.
Energy of formation   131 kJ/mol of formula units
Mass density   17.0 g cm⁻³
Electronic total energy   -17.35 eV per cell

Cell lengths 4.3080, 4.3080, 4.0820 Å; angles 90.00, 90.00, 90.00 degrees
With the nearest neighbours (Å) after each atom.
Element x y z (fractional)
Ta  0.0000  0.0000  0.0000  8 Au 2.97, 4 Hg 3.05
Hg  0.5000  0.5000  0.0000  8 Au 2.97, 4 Ta 3.05
Au  0.0000  0.5000  0.5000  4 Hg 2.97, 4 Ta 2.97, 4 Au 3.05
Au  0.5000  0.0000  0.5000  4 Hg 2.97, 4 Ta 2.97, 4 Au 3.05


Material: TaHgAu2
Method: DFT, PBE
State: relaxed

Summary:
Space-group type   I-42d
DOS(E_F)   3.39 states/eV/f.u.
Energy of formation   181 kJ/mol of formula units
Mass density   15.4 g cm⁻³
Electronic total energy   -33.66 eV per cell

Cell lengths 6.1154, 6.1154, 6.1154 Å; angles 102.68, 102.68, 124.12 degrees
With the nearest neighbours (Å) after each atom.
Element x y z (fractional)
Ta  0.0000  0.0000  0.0000  4 Au 2.69, 2 Hg 2.87
Ta  0.7500  0.2500  0.5000  4 Au 2.69, 2 Hg 2.87
Hg  0.2500  0.7500  0.5000  2 Ta 2.87, 4 Au 2.91
Hg  0.5000  0.5000  0.0000  2 Ta 2.87, 4 Au 2.91
Au  0.1041  0.1250  0.4791  2 Ta 2.69, 2 Au 2.88, 2 Hg 2.91
Au  0.3750  0.8959  0.0209  2 Ta 2.69, 2 Au 2.88, 2 Hg 2.91
Au  0.6459  0.6250  0.5209  2 Ta 2.69, 2 Au 2.88, 2 Hg 2.91
Au  0.8750  0.3541  0.9791  2 Ta 2.69, 2 Au 2.88, 2 Hg 2.91


Material: Ta2HgAu
Method: DFT, PBE
State: relaxed

Summary:
Space-group type   I-4m2
DOS(E_F)   5.56 states/eV/f.u.
Energy of formation   127 kJ/mol of formula units
Mass density   16.9 g cm⁻³
Electronic total energy   -25.97 eV per cell

Cell lengths 5.2729, 5.2729, 5.2729 Å; angles 134.07, 134.07, 66.97 degrees
With the nearest neighbours (Å) after each atom.
Element x y z (fractional)
Ta  0.0000  0.0000  0.0000  4 Hg 2.91, 4 Ta 3.01, 4 Au 3.01
Ta  0.7500  0.2500  0.5000  4 Au 2.91, 4 Hg 3.01, 4 Ta 3.01
Hg  0.5000  0.5000  0.0000  8 Ta 2.91-3.01, 4 Au 3.01
Au  0.2500  0.7500  0.5000  8 Ta 2.91-3.01, 4 Hg 3.01


Material: Ta2HgAu
Method: DFT, PBE
State: relaxed

Summary:
Space-group type   I4/mmm
DOS(E_F)   3.68 states/eV/f.u.
Energy of formation   79 kJ/mol of formula units
Mass density   17.1 g cm⁻³
Electronic total energy   -26.46 eV per cell

Cell lengths 5.1510, 5.1510, 5.1510 Å; angles 132.17, 132.17, 69.96 degrees
With the nearest neighbours (Å) after each atom.
Element x y z (fractional)
Ta  0.2500  0.7500  0.5000  4 Ta 2.95, 4 Hg 2.97, 4 Au 2.97
Ta  0.7500  0.2500  0.5000  4 Ta 2.95, 4 Hg 2.97, 4 Au 2.97
Hg  0.0000  0.0000  0.0000  4 Au 2.95, 8 Ta 2.97
Au  0.5000  0.5000  0.0000  4 Hg 2.95, 8 Ta 2.97


Material: Ta2HgAu
Method: DFT, PBE
State: relaxed

Summary:
Space-group type   F-43m
DOS(E_F)   4.29 states/eV/f.u.
Energy of formation   197 kJ/mol of formula units
Mass density   16.6 g cm⁻³
Electronic total energy   -25.25 eV per cell

Cell lengths 4.7510, 4.7510, 4.7510 Å; angles 60.00, 60.00, 60.00 degrees
With the nearest neighbours (Å) after each atom.
Element x y z (fractional)
Ta  0.0000  0.0000  0.0000  4 Hg 2.91, 4 Ta 2.91
Ta  0.2500  0.2500  0.2500  4 Au 2.91, 4 Ta 2.91
Hg  0.7500  0.7500  0.7500  4 Au 2.91, 4 Ta 2.91
Au  0.5000  0.5000  0.5000  4 Ta 2.91, 4 Hg 2.91


Material: Ta2HgAu
Method: DFT, PBE
State: relaxed

Summary:
Space-group type   C2/m
DOS(E_F)   3.57 states/eV/f.u.
Energy of formation   96 kJ/mol of formula units
Mass density   16.8 g cm⁻³
Electronic total energy   -26.29 eV per cell

Cell lengths 5.2184, 5.2184, 5.1479 Å; angles 99.45, 99.45, 32.82 degrees
With the nearest neighbours (Å) after each atom.
Element x y z (fractional)
Ta  0.2476  0.2476  0.2431  6 Ta 2.91-3.02, 3 Au 2.97-3.01, 3 Hg 3.00-3.03
Ta  0.7524  0.7524  0.7569  6 Ta 2.91-3.02, 3 Au 2.97-3.01, 3 Hg 3.00-3.03
Hg  0.0000  0.0000  0.5000  2 Hg 2.95, 4 Au 2.97, 6 Ta 3.00-3.03
Au  0.5000  0.5000  0.0000  2 Au 2.95, 4 Hg 2.97, 6 Ta 2.97-3.01